1.
# Ce2Dy3Tl4 (GGA-PBE, relaxed)
data_Ce2Dy3Tl4
_chemical_formula_sum 'Ce8 Dy12 Tl16'
_symmetry_space_group_name_H-M 'C m c e'
_symmetry_Int_Tables_number 64
_symmetry_space_group_name_Hall '-C 2ac 2'
_cell_length_a 7.193
_cell_length_b 16.674
_cell_length_c 9.149
_cell_angle_alpha 90.00
_cell_angle_beta 90.00
_cell_angle_gamma 90.00
loop_
_atom_site_label
_atom_site_fract_x
_atom_site_fract_y
_atom_site_fract_z
Ce1 0.000 0.109 0.076
Dy1 0.000 0.000 0.500
Dy2 0.250 0.216 0.750
Tl1 0.000 0.185 0.458
Tl2 0.250 0.032 0.750
# ρ: 9.60 g/cm3



2.
# Ce3DyTl3 (GGA-PBE, relaxed)
data_Ce3DyTl3
_chemical_formula_sum 'Ce6 Dy2 Tl6'
_symmetry_space_group_name_H-M 'P 63/m'
_symmetry_Int_Tables_number 176
_symmetry_space_group_name_Hall '-P 6c'
_cell_length_a 9.5290
_cell_length_b 9.5290
_cell_length_c 5.0915
_cell_angle_alpha 90.00
_cell_angle_beta 90.00
_cell_angle_gamma 120.00
loop_
_atom_site_label
_atom_site_fract_x
_atom_site_fract_y
_atom_site_fract_z
Ce1 0.0048 0.7795 0.2500
Dy1 0.3333 0.6667 0.2500
Tl1 0.0758 0.6152 0.7500
# ρ: 9.92 g/cm3



Number 1: calculated formation energy -156.8 meV/atom. Number 2: calculated formation energy -95.1 meV/atom.